{
  "formula": "Dy6Tm2Al",
  "functional": "PBE-GGA",
  "state": "optimized geometry",
  "lattice_angstrom": [[5.283, 0.000, 0.249], [0.000, 10.019, 0.000], [-0.481, 0.000, 10.064]],
  "species": ["Dy", "Dy", "Dy", "Dy", "Dy", "Dy", "Dy", "Dy", "Dy", "Dy", "Dy", "Dy", "Tm", "Tm", "Tm", "Tm", "Al", "Al"],
  "frac_coords": [[0.000, 0.036, 0.185], [0.999, 0.685, 0.543], [0.000, 0.625, 0.879], [0.500, 0.125, 0.621], [0.501, 0.185, 0.957], [0.500, 0.536, 0.315], [0.000, 0.964, 0.815], [0.001, 0.315, 0.457], [0.000, 0.375, 0.121], [0.500, 0.875, 0.379], [0.499, 0.815, 0.043], [0.500, 0.464, 0.685], [0.000, 0.290, 0.783], [0.500, 0.790, 0.717], [0.500, 0.210, 0.283], [0.000, 0.710, 0.217], [0.500, 0.500, 0.000], [0.000, 0.000, 0.500]],
  "ef_ev_per_atom": -0.01,
  "spacegroup": "No. 14"
}